No. 1
8
Lattice="5.858 0.000 0.000 0.000 3.381 0.000 -1.936 0.000 5.593" Properties=species:S:1:pos:R:3 comment="PmDy2TaN4 GGA-PBE optimized geometry" n_ef_per_ev_cell=1.95 magmom_total_mub_per_cell=0.000 e_form_raw_ev_per_atom=-1.43 pbc="T T T"
Pm 0.000 0.000 0.000
Dy 1.961 0.000 2.797
Dy 2.929 1.690 0.000
Ta -0.968 1.690 2.797
N -0.053 0.000 4.041
N 0.859 1.690 1.549
N 3.063 1.690 4.045
N 3.975 0.000 1.552

---

No. 2
5
Lattice="5.247 0.000 0.000 0.000 5.247 0.000 0.000 0.000 5.247" Properties=species:S:1:pos:R:3 comment="NaSc3Ga GGA-PBE optimized geometry" n_ef_per_ev_cell=7.11 magmom_total_mub_per_cell=1.461 e_form_ev_per_atom=0.229 pbc="T T T"
Na 0.000 0.000 0.000
Sc 0.000 2.623 2.623
Sc 2.623 0.000 2.623
Sc 2.623 2.623 0.000
Ga 2.623 2.623 2.623